Record 1
Compound: CuRh
Source: the Alexandria database
Functional: GGA-PBE
Structure: relaxed

Cell lengths 4.2429, 4.2429, 4.2429 Å; angles 60.00, 60.00, 60.00 degrees
Atoms (fractional coordinates):
Cu: 0.1250 0.1250 0.1250
Cu: 0.8750 0.8750 0.8750
Rh: 0.3750 0.3750 0.3750
Rh: 0.6250 0.6250 0.6250

- DFT formation energy (eV/atom) = 0.1659

Record 2
Compound: Ta3ClF
Source: the Alexandria database
Functional: GGA-PBE
Structure: relaxed

Cell lengths 4.4058, 4.4058, 4.4058 Å; angles 90.00, 90.00, 90.00 degrees
Atoms (fractional coordinates):
Ta: 0.0000 0.0000 0.5000
Ta: 0.0000 0.5000 0.0000
Ta: 0.5000 0.0000 0.0000
Cl: 0.5000 0.5000 0.5000
F: 0.0000 0.0000 0.0000

- energy relative to the lowest polymorph listed for this composition (meV per atom) = 0
- energy relative to the elements, uncorrected (kJ/mol of atoms) = 77

Record 3
Compound: Ag3BiI
Source: the Alexandria database
Functional: GGA-PBE
Structure: relaxed

Cell lengths 5.4736, 5.4736, 5.4736 Å; angles 90.00, 90.00, 90.00 degrees
Atoms (fractional coordinates):
Ag: 0.0000 0.0000 0.5000
Ag: 0.0000 0.5000 0.0000
Ag: 0.5000 0.0000 0.0000
Bi: 0.0000 0.0000 0.0000
I: 0.5000 0.5000 0.5000

- energy relative to the lowest polymorph listed for this composition (meV per atom) = 0
- energy relative to the elements, uncorrected (kJ/mol of atoms) = 42

Record 4
Compound: CdHgO2F
Source: the Alexandria database
Functional: GGA-PBE
Structure: relaxed

Cell lengths 4.2341, 4.2341, 4.2844 Å; angles 90.00, 90.00, 90.00 degrees
Atoms (fractional coordinates):
Cd: 0.0000 0.0000 0.0000
Hg: 0.5000 0.5000 0.5000
O: 0.0000 0.5000 0.0000
O: 0.5000 0.0000 0.0000
F: 0.0000 0.0000 0.5000

- energy relative to the elements, uncorrected (kJ/mol of atoms) = -33

Record 5
Compound: TeOs2Cl
Source: the Alexandria database
Functional: GGA-PBE
Structure: relaxed

Cell lengths 2.9526, 4.5100, 5.2015 Å; angles 90.00, 90.00, 90.00 degrees
Atoms (fractional coordinates):
Te: 0.0000 0.0000 0.0000
Os: 0.0000 0.5000 0.5000
Os: 0.5000 0.5000 0.0000
Cl: 0.5000 0.0000 0.5000

- energy relative to the lowest polymorph listed for this composition (meV per atom) = 1090
- energy relative to the elements, uncorrected (kJ/mol of atoms) = 127

Record 6
Compound: CeDyGe
Source: the Alexandria database
Functional: GGA-PBE
Structure: relaxed

Cell lengths 4.9343, 4.9343, 4.9343 Å; angles 60.00, 60.00, 60.00 degrees
Atoms (fractional coordinates):
Ce: 0.0000 0.0000 0.0000
Dy: 0.5000 0.5000 0.5000
Ge: 0.2500 0.2500 0.2500

- DFT formation energy (eV/atom) = -0.4123